No. 1
MgBeNi2B | PBE | relaxed

Calculated values
**Theoretical density**: 3.6 g cm⁻³
**ΔE_f**: 1737 meV/atom
**Raw total energy**: -2.9754 eV per atom
**Volume**: 75 Å³/cell
**Symmetry**: P4/mmm, No. 123

Cell: 4.2955 4.2955 4.0473 Å, 90.00 90.00 90.00°
Element x y z (fractional)
Mg (0.0000, 0.0000, 0.0000)
Be (0.5000, 0.5000, 0.5000)
Ni (0.0000, 0.5000, 0.0000)
Ni (0.5000, 0.0000, 0.0000)
B (0.0000, 0.0000, 0.5000)



No. 2
Mg2BeB2Pt5 | PBE | relaxed

Calculated values
**Theoretical density**: 13.2 g cm⁻³
**ΔE_f**: -574 meV/atom
**Raw total energy**: -5.6212 eV per atom
**Volume**: 264 Å³/cell
**Symmetry**: P4/mbm, No. 127

Cell: 9.1782 9.1782 3.1390 Å, 90.00 90.00 90.00°
Element x y z (fractional)
Mg (0.1741, 0.3259, 0.0000)
Mg (0.3259, 0.8259, 0.0000)
Mg (0.6741, 0.1741, 0.0000)
Mg (0.8259, 0.6741, 0.0000)
Be (0.0000, 0.0000, 0.0000)
Be (0.5000, 0.5000, 0.0000)
B (0.1290, 0.6290, 0.0000)
B (0.3710, 0.1290, 0.0000)
B (0.6290, 0.8710, 0.0000)
B (0.8710, 0.3710, 0.0000)
Pt (0.0000, 0.5000, 0.5000)
Pt (0.0731, 0.7935, 0.5000)
Pt (0.2065, 0.0731, 0.5000)
Pt (0.2935, 0.5731, 0.5000)
Pt (0.4269, 0.2935, 0.5000)
Pt (0.5000, 0.0000, 0.5000)
Pt (0.5731, 0.7065, 0.5000)
Pt (0.7065, 0.4269, 0.5000)
Pt (0.7935, 0.9269, 0.5000)
Pt (0.9269, 0.2065, 0.5000)



No. 3
Mg2BeB2Rh5 | PBE | relaxed

Calculated values
**Theoretical density**: 8.0 g cm⁻³
**ΔE_f**: -611 meV/atom
**Raw total energy**: -6.3141 eV per atom
**Volume**: 245 Å³/cell
**Symmetry**: P4/mbm, No. 127

Cell: 9.2186 9.2186 2.8873 Å, 90.00 90.00 90.00°
Element x y z (fractional)
Mg (0.1753, 0.3247, 0.0000)
Mg (0.3247, 0.8247, 0.0000)
Mg (0.6753, 0.1753, 0.0000)
Mg (0.8247, 0.6753, 0.0000)
Be (0.0000, 0.0000, 0.0000)
Be (0.5000, 0.5000, 0.0000)
B (0.1303, 0.6303, 0.0000)
B (0.3697, 0.1303, 0.0000)
B (0.6303, 0.8697, 0.0000)
B (0.8697, 0.3697, 0.0000)
Rh (0.0000, 0.5000, 0.5000)
Rh (0.0700, 0.7928, 0.5000)
Rh (0.2072, 0.0700, 0.5000)
Rh (0.2928, 0.5700, 0.5000)
Rh (0.4300, 0.2928, 0.5000)
Rh (0.5000, 0.0000, 0.5000)
Rh (0.5700, 0.7072, 0.5000)
Rh (0.7072, 0.4300, 0.5000)
Rh (0.7928, 0.9300, 0.5000)
Rh (0.9300, 0.2072, 0.5000)



No. 4
MgBe2VB | PBE | relaxed

Calculated values
**Theoretical density**: 2.6 g cm⁻³
**ΔE_f**: 1806 meV/atom
**Raw total energy**: -3.1626 eV per atom
**Volume**: 67 Å³/cell
**Symmetry**: P4/mmm, No. 123

Cell: 4.1018 4.1018 4.0058 Å, 90.00 90.00 90.00°
Element x y z (fractional)
Mg (0.0000, 0.0000, 0.0000)
Be (0.0000, 0.5000, 0.0000)
Be (0.5000, 0.0000, 0.0000)
V (0.5000, 0.5000, 0.5000)
B (0.0000, 0.0000, 0.5000)



No. 5
YMg2BeB | PBE | relaxed

Calculated values
**Theoretical density**: 2.9 g cm⁻³
**ΔE_f**: 340 meV/atom
**Raw total energy**: -3.6710 eV per atom
**Volume**: 89 Å³/cell
**Symmetry**: P4/mmm, No. 123

Cell: 4.7718 4.7718 3.9051 Å, 90.00 90.00 90.00°
Element x y z (fractional)
Y (0.0000, 0.0000, 0.0000)
Mg (0.0000, 0.5000, 0.5000)
Mg (0.5000, 0.0000, 0.5000)
Be (0.5000, 0.5000, 0.0000)
B (0.5000, 0.5000, 0.5000)



No. 6
Mg2ZrBeB | PBE | relaxed

Calculated values
**Theoretical density**: 3.2 g cm⁻³
**ΔE_f**: 605 meV/atom
**Raw total energy**: -3.8237 eV per atom
**Volume**: 82 Å³/cell
**Symmetry**: P4/mmm, No. 123

Cell: 4.7269 4.7269 3.6557 Å, 90.00 90.00 90.00°
Element x y z (fractional)
Mg (0.0000, 0.5000, 0.0000)
Mg (0.5000, 0.0000, 0.0000)
Zr (0.0000, 0.0000, 0.5000)
Be (0.5000, 0.5000, 0.0000)
B (0.5000, 0.5000, 0.5000)



No. 7
MnBeB | PBE | relaxed

Calculated values
**Theoretical density**: 4.9 g cm⁻³
**ΔE_f**: 180 meV/atom
**Raw total energy**: -6.3447 eV per atom
**Volume**: 101 Å³/cell
**Symmetry**: I4/mmm, No. 139

Cell: 5.8289 5.8289 5.8289 Å, 94.33 94.33 148.09°
Element x y z (fractional)
Mn (0.0000, 0.2065, 0.2065)
Mn (0.0000, 0.7935, 0.7935)
Mn (0.2065, 0.0000, 0.2065)
Mn (0.7935, 0.0000, 0.7935)
Be (0.1216, 0.5000, 0.6216)
Be (0.5000, 0.1216, 0.6216)
Be (0.5000, 0.8784, 0.3784)
Be (0.8784, 0.5000, 0.3784)
B (0.2884, 0.2884, 0.5768)
B (0.2884, 0.7116, 0.0000)
B (0.7116, 0.2884, 0.0000)
B (0.7116, 0.7116, 0.4232)



No. 8
MnBeB | PBE | relaxed

Calculated values
**Theoretical density**: 5.1 g cm⁻³
**ΔE_f**: -382 meV/atom
**Raw total energy**: -6.9059 eV per atom
**Volume**: 48 Å³/cell
**Symmetry**: Cmcm, No. 63

Cell: 6.2802 6.2802 2.8071 Å, 90.00 90.00 154.15°
Element x y z (fractional)
Mn (0.0932, 0.9068, 0.7500)
Mn (0.9068, 0.0932, 0.2500)
Be (0.2928, 0.7072, 0.7500)
Be (0.7072, 0.2928, 0.2500)
B (0.4575, 0.5425, 0.7500)
B (0.5425, 0.4575, 0.2500)



No. 9
MnBeB3 | PBE | relaxed

Calculated values
**Theoretical density**: 4.0 g cm⁻³
**ΔE_f**: 1440 meV/atom
**Raw total energy**: -5.1458 eV per atom
**Volume**: 40 Å³/cell
**Symmetry**: Pm-3m, No. 221

Cell: 3.4208 3.4208 3.4208 Å, 90.00 90.00 90.00°
Element x y z (fractional)
Mn (0.0000, 0.0000, 0.0000)
Be (0.5000, 0.5000, 0.5000)
B (0.0000, 0.5000, 0.5000)
B (0.5000, 0.0000, 0.5000)
B (0.5000, 0.5000, 0.0000)



No. 10
MnBeB | PBE | relaxed

Calculated values
**Theoretical density**: 5.1 g cm⁻³
**ΔE_f**: 78 meV/atom
**Raw total energy**: -6.4461 eV per atom
**Volume**: 24 Å³/cell
**Symmetry**: I4mm, No. 107

Cell: 4.0827 4.0827 4.0827 Å, 143.31 143.31 52.87°
Element x y z (fractional)
Mn (0.0000, 0.0000, 0.0000)
Be (0.3066, 0.3066, 0.0000)
B (0.6460, 0.6460, 0.0000)



No. 11
Mn2BeB2 | PBE | relaxed

Calculated values
**Theoretical density**: 6.0 g cm⁻³
**ΔE_f**: -528 meV/atom
**Raw total energy**: -7.6121 eV per atom
**Volume**: 78 Å³/cell
**Symmetry**: P4/mbm, No. 127

Cell: 5.2476 5.2476 2.8307 Å, 90.00 90.00 90.00°
Element x y z (fractional)
Mn (0.1745, 0.3255, 0.0000)
Mn (0.3255, 0.8255, 0.0000)
Mn (0.6745, 0.1745, 0.0000)
Mn (0.8255, 0.6745, 0.0000)
Be (0.0000, 0.0000, 0.5000)
Be (0.5000, 0.5000, 0.5000)
B (0.1198, 0.6198, 0.5000)
B (0.3802, 0.1198, 0.5000)
B (0.6198, 0.8802, 0.5000)
B (0.8802, 0.3802, 0.5000)



No. 12
MnBeB3 | PBE | relaxed

Calculated values
**Theoretical density**: 3.1 g cm⁻³
**ΔE_f**: 1097 meV/atom
**Raw total energy**: -5.4884 eV per atom
**Volume**: 52 Å³/cell
**Symmetry**: Pm-3m, No. 221

Cell: 3.7320 3.7320 3.7320 Å, 90.00 90.00 90.00°
Element x y z (fractional)
Mn (0.0000, 0.0000, 0.0000)
Be (0.5000, 0.5000, 0.5000)
B (0.0000, 0.0000, 0.5000)
B (0.0000, 0.5000, 0.0000)
B (0.5000, 0.0000, 0.0000)



No. 13
Mn2BeB | PBE | relaxed

Calculated values
**Theoretical density**: 6.1 g cm⁻³
**ΔE_f**: -84 meV/atom
**Raw total energy**: -7.2701 eV per atom
**Volume**: 36 Å³/cell
**Symmetry**: Fm-3m, No. 225

Cell: 3.6922 3.6922 3.6922 Å, 60.00 60.00 60.00°
Element x y z (fractional)
Mn (0.2500, 0.2500, 0.2500)
Mn (0.7500, 0.7500, 0.7500)
Be (0.0000, 0.0000, 0.0000)
B (0.5000, 0.5000, 0.5000)



No. 14
Mn3BeB | PBE | relaxed

Calculated values
**Theoretical density**: 5.8 g cm⁻³
**ΔE_f**: 359 meV/atom
**Raw total energy**: -7.2239 eV per atom
**Volume**: 53 Å³/cell
**Symmetry**: Pm-3m, No. 221

Cell: 3.7577 3.7577 3.7577 Å, 90.00 90.00 90.00°
Element x y z (fractional)
Mn (0.0000, 0.0000, 0.5000)
Mn (0.0000, 0.5000, 0.0000)
Mn (0.5000, 0.0000, 0.0000)
Be (0.5000, 0.5000, 0.5000)
B (0.0000, 0.0000, 0.0000)



No. 15
Mn2Be16B | PBE | relaxed

Calculated values
**Theoretical density**: 2.8 g cm⁻³
**ΔE_f**: -41 meV/atom
**Raw total energy**: -4.4957 eV per atom
**Volume**: 155 Å³/cell
**Symmetry**: R3m, No. 160

Cell: 5.4179 5.4179 5.4179 Å, 81.98 81.98 81.98°
Element x y z (fractional)
Mn (0.0000, 0.0000, 0.0000)
Mn (0.3474, 0.3474, 0.3474)
Be (0.0146, 0.0146, 0.5047)
Be (0.0146, 0.5047, 0.0146)
Be (0.1716, 0.6671, 0.6671)
Be (0.3259, 0.3259, 0.8287)
Be (0.3259, 0.8287, 0.3259)
Be (0.3565, 0.6697, 0.9814)
Be (0.3565, 0.9814, 0.6697)
Be (0.5047, 0.0146, 0.0146)
Be (0.6671, 0.1716, 0.6671)
Be (0.6671, 0.6671, 0.1716)
Be (0.6697, 0.3565, 0.9814)
Be (0.6697, 0.9814, 0.3565)
Be (0.7530, 0.7530, 0.7530)
Be (0.8287, 0.3259, 0.3259)
Be (0.9814, 0.3565, 0.6697)
Be (0.9814, 0.6697, 0.3565)
B (0.5586, 0.5586, 0.5586)



No. 16
Mn2Be3B2 | PBE | relaxed

Calculated values
**Theoretical density**: 4.8 g cm⁻³
**ΔE_f**: -350 meV/atom
**Raw total energy**: -6.4742 eV per atom
**Volume**: 55 Å³/cell
**Symmetry**: C2/m, No. 12

Cell: 4.0000 4.0000 5.0131 Å, 97.75 97.75 43.91°
Element x y z (fractional)
Mn (0.1252, 0.1252, 0.3426)
Mn (0.8748, 0.8748, 0.6574)
Be (0.1861, 0.1861, 0.8538)
Be (0.5000, 0.5000, 0.0000)
Be (0.8139, 0.8139, 0.1462)
B (0.4142, 0.4142, 0.3634)
B (0.5858, 0.5858, 0.6366)



No. 17
Mn2BeB | PBE | relaxed

Calculated values
**Theoretical density**: 5.6 g cm⁻³
**ΔE_f**: 226 meV/atom
**Raw total energy**: -6.9594 eV per atom
**Volume**: 76 Å³/cell
**Symmetry**: I-42d, No. 122

Cell: 4.6620 4.6620 4.6620 Å, 104.97 104.97 118.91°
Element x y z (fractional)
Mn (0.0953, 0.6250, 0.9703)
Mn (0.3750, 0.3453, 0.4703)
Mn (0.6547, 0.1250, 0.0297)
Mn (0.8750, 0.9047, 0.5297)
Be (0.2500, 0.7500, 0.5000)
Be (0.5000, 0.5000, 0.0000)
B (0.0000, 0.0000, 0.0000)
B (0.7500, 0.2500, 0.5000)



No. 18
Mn2BeB | PBE | relaxed

Calculated values
**Theoretical density**: 6.0 g cm⁻³
**ΔE_f**: -84 meV/atom
**Raw total energy**: -7.2698 eV per atom
**Volume**: 36 Å³/cell
**Symmetry**: P4/mmm, No. 123

Cell: 3.5991 3.5991 2.7510 Å, 90.00 90.00 90.00°
Element x y z (fractional)
Mn (0.0000, 0.5000, 0.0000)
Mn (0.5000, 0.0000, 0.0000)
Be (0.0000, 0.0000, 0.5000)
B (0.5000, 0.5000, 0.5000)



No. 19
Mn5BeB2Mo2 | PBE | relaxed

Calculated values
**Theoretical density**: 7.8 g cm⁻³
**ΔE_f**: -234 meV/atom
**Raw total energy**: -8.6936 eV per atom
**Volume**: 211 Å³/cell
**Symmetry**: P4/mbm, No. 127

Cell: 8.5145 8.5145 2.9082 Å, 90.00 90.00 90.00°
Element x y z (fractional)
Mn (0.0000, 0.5000, 0.0000)
Mn (0.0662, 0.2086, 0.0000)
Mn (0.2086, 0.9338, 0.0000)
Mn (0.2914, 0.4338, 0.0000)
Mn (0.4338, 0.7086, 0.0000)
Mn (0.5000, 0.0000, 0.0000)
Mn (0.5662, 0.2914, 0.0000)
Mn (0.7086, 0.5662, 0.0000)
Mn (0.7914, 0.0662, 0.0000)
Mn (0.9338, 0.7914, 0.0000)
Be (0.0000, 0.0000, 0.5000)
Be (0.5000, 0.5000, 0.5000)
B (0.1253, 0.3747, 0.5000)
B (0.3747, 0.8747, 0.5000)
B (0.6253, 0.1253, 0.5000)
B (0.8747, 0.6253, 0.5000)
Mo (0.1755, 0.6755, 0.5000)
Mo (0.3245, 0.1755, 0.5000)
Mo (0.6755, 0.8245, 0.5000)
Mo (0.8245, 0.3245, 0.5000)



No. 20
MnBe2NbB | PBE | relaxed

Calculated values
**Theoretical density**: 3.3 g cm⁻³
**ΔE_f**: 2280 meV/atom
**Raw total energy**: -4.3938 eV per atom
**Volume**: 90 Å³/cell
**Symmetry**: P4/mmm, No. 123

Cell: 4.4702 4.4702 4.4961 Å, 90.00 90.00 90.00°
Element x y z (fractional)
Mn (0.0000, 0.0000, 0.0000)
Be (0.0000, 0.5000, 0.5000)
Be (0.5000, 0.0000, 0.5000)
Nb (0.0000, 0.0000, 0.5000)
B (0.5000, 0.5000, 0.0000)